[1]
Compound: Ac2Pu3S8
Source: Alexandria
Functional: PBE
Structure: relaxed

Symmetry: No. 65
Energy relative to the elements, uncorrected, eV/atom: -1.744
N(E_F), states/eV/atom: 2.01
M_tot, μB per formula unit: 14.0

Cell: 4.8031 9.7195 8.5568 Å, 124.60 90.00 90.00°
Last column: nearest neighbours and their distance in Å.
Fractional coordinates of all 13 atoms:
1 Ac 0.5000 0.2675 0.5349  6 S 2.91-3.14
2 Ac 0.5000 0.7325 0.4651  6 S 2.91-3.14
3 Pu 0.5000 0.0000 0.0000  8 S 2.80-2.86
4 Pu 0.0000 0.2724 0.0000  8 S 2.75-3.07
5 Pu 0.0000 0.7276 0.0000  8 S 2.75-3.07
6 S 0.0000 0.6161 0.2323  2 Pu 2.75, 2 Ac 2.91
7 S 0.0000 0.3839 0.7677  2 Pu 2.75, 2 Ac 2.91
8 S 0.0000 0.1099 0.2198  4 Pu 2.86-3.07, 1 S 3.10
9 S 0.0000 0.8901 0.7802  4 Pu 2.86-3.07, 1 S 3.10
10 S 0.5000 0.6502 0.7711  3 Pu 2.80-2.92, 1 Ac 3.06
11 S 0.5000 0.1208 0.7710  3 Pu 2.80-2.92, 1 Ac 3.06
12 S 0.5000 0.8792 0.2290  3 Pu 2.80-2.92, 1 Ac 3.06
13 S 0.5000 0.3498 0.2289  3 Pu 2.80-2.92, 1 Ac 3.06


[2]
Compound: AcPuSeS
Source: Alexandria
Functional: PBE
Structure: relaxed

Symmetry: No. 160
Energy relative to the lowest polymorph listed for this composition, eV per formula unit: 0.00
Energy relative to the elements, uncorrected, eV/atom: -1.776
N(E_F), states/eV/atom: 2.02
M_tot, μB per formula unit: 5.8

Cell: 4.1961 4.1961 7.4142 Å, 73.56 73.56 60.00°
Last column: nearest neighbours and their distance in Å.
Fractional coordinates of all 4 atoms:
1 Ac 0.9954 0.9954 0.0138  3 S 3.03, 3 Se 3.14
2 Pu 0.5051 0.5051 0.4846  3 S 2.84, 3 Se 2.96
3 Se 0.7575 0.7575 0.7276  3 Pu 2.96, 3 Ac 3.14
4 S 0.2420 0.2420 0.2740  3 Pu 2.84, 3 Ac 3.03


[3]
Compound: AcPuSeS
Source: Alexandria
Functional: PBE
Structure: relaxed

Symmetry: No. 216
Energy relative to the lowest polymorph listed for this composition, eV per formula unit: 1.26
Energy relative to the elements, uncorrected, eV/atom: -1.460
N(E_F), states/eV/atom: 1.46
M_tot, μB per formula unit: 6.8

Cell: 5.2047 5.2047 5.2047 Å, 60.00 60.00 60.00°
Last column: nearest neighbours and their distance in Å.
Fractional coordinates of all 4 atoms:
1 Ac 0.0000 0.0000 0.0000  4 S 3.19, 4 Se 3.19
2 S 0.7500 0.7500 0.7500  4 Ac 3.19, 4 Pu 3.19
3 Se 0.2500 0.2500 0.2500  4 Ac 3.19, 4 Pu 3.19
4 Pu 0.5000 0.5000 0.5000  4 Se 3.19, 4 S 3.19


[4]
Compound: Ac2PuSe2S2
Source: Alexandria
Functional: PBE
Structure: relaxed

Symmetry: No. 139
Energy relative to the elements, uncorrected, eV/atom: -1.711
N(E_F), states/eV/atom: 1.14
M_tot, μB per formula unit: 5.9

Cell: 5.1193 5.1193 8.6923 Å, 107.13 107.13 90.00°
Last column: nearest neighbours and their distance in Å.
Fractional coordinates of all 7 atoms:
1 Ac 0.3717 0.3717 0.7434  1 Se 3.00, 4 S 3.27
2 Ac 0.6283 0.6283 0.2566  1 Se 3.00, 4 S 3.27
3 Pu 0.0000 0.0000 0.0000  4 S 2.56
4 Se 0.1820 0.1820 0.3641  1 Pu 2.88, 1 Ac 3.00
5 Se 0.8180 0.8180 0.6359  1 Pu 2.88, 1 Ac 3.00
6 S 0.0000 0.5000 0.0000  2 Pu 2.56
7 S 0.5000 0.0000 0.0000  2 Pu 2.56


[5]
Compound: Ac4Sm3PuS8
Source: Alexandria
Functional: PBE
Structure: relaxed

Symmetry: No. 166
Energy relative to the elements, uncorrected, eV/atom: -1.973
N(E_F), states/eV/atom: 0.89
M_tot, μB per formula unit: 5.7

Cell: 8.2740 8.3392 8.2738 Å, 119.74 120.00 90.00°
Last column: nearest neighbours and their distance in Å.
Fractional coordinates of all 16 atoms:
1 Ac 0.5000 0.0000 0.0000  6 S 3.04
2 Ac 0.5000 0.0000 0.5000  6 S 3.02
3 Ac 0.0000 0.0000 0.0000  6 S 3.02
4 Ac 0.0000 0.0000 0.5000  6 S 3.02
5 Sm 0.5000 0.5000 0.0000  6 S 2.86
6 Sm 0.5000 0.5000 0.5000  6 S 2.86
7 Sm 0.0000 0.5000 0.5000  6 S 2.86
8 Pu 0.0000 0.5000 0.0000  6 S 2.84
9 S 0.2418 0.7280 0.9863  1 Pu 2.84, 2 Sm 2.86, 3 Ac 3.02-3.04
10 S 0.2418 0.7280 0.4835  1 Pu 2.84, 2 Sm 2.86, 3 Ac 3.02-3.04
11 S 0.2569 0.2707 0.5138  3 Sm 2.86, 3 Ac 3.02
12 S 0.7445 0.7280 0.9863  1 Pu 2.84, 2 Sm 2.86, 3 Ac 3.02-3.04
13 S 0.2555 0.2720 0.0137  1 Pu 2.84, 2 Sm 2.86, 3 Ac 3.02-3.04
14 S 0.7431 0.7293 0.4862  3 Sm 2.86, 3 Ac 3.02
15 S 0.7582 0.2720 0.5165  1 Pu 2.84, 2 Sm 2.86, 3 Ac 3.02-3.04
16 S 0.7582 0.2720 0.0137  1 Pu 2.84, 2 Sm 2.86, 3 Ac 3.02-3.04


[6]
Compound: AcSm2PuS4
Source: Alexandria
Functional: PBE
Structure: relaxed

Symmetry: No. 10
Energy relative to the elements, uncorrected, eV/atom: -1.940
N(E_F), states/eV/atom: 1.16
M_tot, μB per formula unit: 5.8

Cell: 4.0587 7.0817 7.0829 Å, 109.20 90.00 90.00°
Last column: nearest neighbours and their distance in Å.
Fractional coordinates of all 8 atoms:
1 Ac 0.0000 0.0000 0.0000  6 S 2.96
2 Sm 0.5000 0.0000 0.5000  6 S 2.90
3 Sm 0.0000 0.5000 0.5000  6 S 2.81
4 Pu 0.5000 0.5000 0.0000  6 S 2.87-2.88
5 S 0.5000 0.2642 0.2625  3 Sm 2.81-2.90, 1 Pu 2.88, 2 Ac 2.96
6 S 0.5000 0.7358 0.7375  3 Sm 2.81-2.90, 1 Pu 2.88, 2 Ac 2.96
7 S 0.0000 0.2589 0.7461  3 Sm 2.81-2.90, 2 Pu 2.87, 1 Ac 2.96
8 S 0.0000 0.7411 0.2539  3 Sm 2.81-2.90, 2 Pu 2.87, 1 Ac 2.96


[7]
Compound: Ac4SmPu3S8
Source: Alexandria
Functional: PBE
Structure: relaxed

Symmetry: No. 166
Energy relative to the elements, uncorrected, eV/atom: -1.904
N(E_F), states/eV/atom: 1.65
M_tot, μB per formula unit: 17.2

Cell: 8.2458 8.3325 8.2447 Å, 119.63 120.00 90.00°
Last column: nearest neighbours and their distance in Å.
Fractional coordinates of all 16 atoms:
1 Ac 0.5000 0.0000 0.0000  6 S 3.01
2 Ac 0.5000 0.0000 0.5000  6 S 3.03-3.04
3 Ac 0.0000 0.0000 0.0000  6 S 3.03-3.04
4 Ac 0.0000 0.0000 0.5000  6 S 3.03-3.04
5 Sm 0.0000 0.5000 0.0000  6 S 2.85
6 Pu 0.5000 0.5000 0.0000  6 S 2.83-2.84
7 Pu 0.5000 0.5000 0.5000  6 S 2.83-2.84
8 Pu 0.0000 0.5000 0.5000  6 S 2.83-2.84
9 S 0.2434 0.7270 0.9837  2 Pu 2.84, 1 Sm 2.85, 3 Ac 3.01-3.03
10 S 0.2434 0.7270 0.4867  2 Pu 2.84, 1 Sm 2.85, 3 Ac 3.01-3.03
11 S 0.2585 0.2754 0.5169  3 Pu 2.83, 3 Ac 3.04
12 S 0.7403 0.7270 0.9837  2 Pu 2.84, 1 Sm 2.85, 3 Ac 3.01-3.03
13 S 0.2597 0.2730 0.0163  2 Pu 2.84, 1 Sm 2.85, 3 Ac 3.01-3.03
14 S 0.7415 0.7246 0.4831  3 Pu 2.83, 3 Ac 3.04
15 S 0.7566 0.2730 0.5133  2 Pu 2.84, 1 Sm 2.85, 3 Ac 3.01-3.03
16 S 0.7566 0.2730 0.0163  2 Pu 2.84, 1 Sm 2.85, 3 Ac 3.01-3.03


[8]
Compound: Ac2SmPuS4
Source: Alexandria
Functional: PBE
Structure: relaxed

Symmetry: No. 10
Energy relative to the elements, uncorrected, eV/atom: -1.940
N(E_F), states/eV/atom: 1.18
M_tot, μB per formula unit: 5.8

Cell: 4.1204 7.1631 7.2443 Å, 109.12 90.00 90.00°
Last column: nearest neighbours and their distance in Å.
Fractional coordinates of all 8 atoms:
1 Ac 0.5000 0.0000 0.5000  6 S 3.03-3.04
2 Ac 0.0000 0.5000 0.5000  6 S 3.02
3 Sm 0.0000 0.0000 0.0000  6 S 2.85-2.86
4 Pu 0.5000 0.5000 0.0000  6 S 2.84
5 S 0.5000 0.2443 0.2284  1 Pu 2.84, 2 Sm 2.85, 3 Ac 3.02-3.03
6 S 0.5000 0.7557 0.7716  1 Pu 2.84, 2 Sm 2.85, 3 Ac 3.02-3.03
7 S 0.0000 0.2598 0.7732  2 Pu 2.84, 1 Sm 2.86, 3 Ac 3.02-3.04
8 S 0.0000 0.7402 0.2268  2 Pu 2.84, 1 Sm 2.86, 3 Ac 3.02-3.04


[9]
Compound: SrAcPu2S4
Source: Alexandria
Functional: PBE
Structure: relaxed

Symmetry: No. 10
Energy relative to the elements, uncorrected, eV/atom: -1.870
N(E_F), states/eV/atom: 1.91
M_tot, μB per formula unit: 11.6

Cell: 4.1156 7.1914 7.1405 Å, 70.72 90.00 90.00°
Last column: nearest neighbours and their distance in Å.
Fractional coordinates of all 8 atoms:
1 Sr 0.0000 0.5000 0.5000  6 S 2.99
2 Ac 0.5000 0.5000 0.0000  6 S 3.01-3.02
3 Pu 0.0000 0.0000 0.0000  6 S 2.85-2.86
4 Pu 0.5000 0.0000 0.5000  6 S 2.83-2.84
5 S 0.0000 0.7716 0.7401  3 Pu 2.83-2.86, 1 Sr 2.99, 2 Ac 3.02
6 S 0.0000 0.2284 0.2599  3 Pu 2.83-2.86, 1 Sr 2.99, 2 Ac 3.02
7 S 0.5000 0.7695 0.2455  3 Pu 2.84-2.85, 2 Sr 2.99, 1 Ac 3.01
8 S 0.5000 0.2305 0.7545  3 Pu 2.84-2.85, 2 Sr 2.99, 1 Ac 3.01


[10]
Compound: AcTb2PuS4
Source: Alexandria
Functional: PBE
Structure: relaxed

Symmetry: No. 10
Energy relative to the elements, uncorrected, eV/atom: -1.932
N(E_F), states/eV/atom: 1.17
M_tot, μB per formula unit: 5.9

Cell: 4.0075 6.9849 7.0472 Å, 109.06 90.00 90.00°
Last column: nearest neighbours and their distance in Å.
Fractional coordinates of all 8 atoms:
1 Ac 0.0000 0.0000 0.0000  6 S 2.96
2 Tb 0.5000 0.0000 0.5000  6 S 2.84
3 Tb 0.0000 0.5000 0.5000  6 S 2.75-2.76
4 Pu 0.5000 0.5000 0.0000  6 S 2.88
5 S 0.5000 0.2661 0.2700  3 Tb 2.75-2.84, 1 Pu 2.88, 2 Ac 2.96
6 S 0.5000 0.7339 0.7300  3 Tb 2.75-2.84, 1 Pu 2.88, 2 Ac 2.96
7 S 0.0000 0.2557 0.7384  3 Tb 2.76-2.84, 2 Pu 2.88, 1 Ac 2.96
8 S 0.0000 0.7443 0.2616  3 Tb 2.76-2.84, 2 Pu 2.88, 1 Ac 2.96


[11]
Compound: AcTbPu2S4
Source: Alexandria
Functional: PBE
Structure: relaxed

Symmetry: No. 10
Energy relative to the elements, uncorrected, eV/atom: -1.863
N(E_F), states/eV/atom: 1.95
M_tot, μB per formula unit: 11.5

Cell: 4.0314 7.0163 7.0235 Å, 70.79 90.00 90.00°
Last column: nearest neighbours and their distance in Å.
Fractional coordinates of all 8 atoms:
1 Ac 0.5000 0.5000 0.0000  6 S 2.96
2 Tb 0.0000 0.5000 0.5000  6 S 2.85
3 Pu 0.0000 0.0000 0.0000  6 S 2.88
4 Pu 0.5000 0.0000 0.5000  6 S 2.77
5 S 0.0000 0.7656 0.7315  3 Pu 2.77-2.88, 1 Tb 2.85, 2 Ac 2.96
6 S 0.0000 0.2344 0.2685  3 Pu 2.77-2.88, 1 Tb 2.85, 2 Ac 2.96
7 S 0.5000 0.7556 0.2610  3 Pu 2.77-2.88, 2 Tb 2.85, 1 Ac 2.96
8 S 0.5000 0.2444 0.7390  3 Pu 2.77-2.88, 2 Tb 2.85, 1 Ac 2.96